The following is a PBE calculation of a geometry-optimized LiGeI3 structure, from Alexandria.

Cell: 7.719 4.431 12.395 Å, 90.00 103.29 90.00°
Space group P2_1/m (No. 11)
Inequivalent atoms, fractional coordinates:
Li 0.015 0.250 0.295 x2
Ge 0.442 0.250 0.820 x2
I 0.200 0.250 0.619 x2
I 0.243 0.750 0.275 x2
I 0.259 0.750 0.913 x2

***

The following is a PBE calculation of a geometry-optimized Li2Ge2I structure, from Alexandria.

Summary:
Energy above the most stable polymorph in this dataset in kcal/mol of atoms: 0.000

Cell: 8.403 8.403 3.266 Å, 90.00 90.00 90.00°
Space group P4/mbm (No. 127)
Inequivalent atoms, fractional coordinates:
Li 0.201 0.299 0.000 x4
Ge 0.101 0.601 0.500 x4
I 0.000 0.000 0.500 x2

***

The following is a PBE calculation of a geometry-optimized LiGeI3 structure, from Alexandria.

Cell: 7.607 4.292 10.851 Å, 90.00 104.05 90.00°
Space group P2_1/m (No. 11)
Inequivalent atoms, fractional coordinates:
Li 0.200 0.250 0.486 x2
Ge 0.356 0.250 0.831 x2
I 0.022 0.750 0.331 x2
I 0.258 0.750 0.995 x2
I 0.458 0.750 0.655 x2

***

The following is a PBE calculation of a geometry-optimized LiGe2I6 structure, from Alexandria.

Cell: 7.5755 7.5755 25.1973 Å, 90.00 90.00 120.00°
Space group R3 (No. 146, hexagonal axes)
Inequivalent atoms, fractional coordinates:
Li 0.0000 0.0000 0.0000 x3
Ge 0.0000 0.0000 0.6156 x3
Ge 0.0000 0.0000 0.7179 x3
I 0.0368 0.3517 0.5842 x9
I 0.0372 0.6847 0.7490 x9

***

The following is a PBE calculation of a geometry-optimized Li2Ge2I7 structure, from Alexandria.

Cell: 12.411 11.547 7.845 Å, 90.00 121.80 90.00°
Space group C2/m (No. 12)
Inequivalent atoms, fractional coordinates:
Li 0.000 0.179 0.000 x4
Ge 0.190 0.500 0.388 x4
I 0.000 0.500 0.500 x2
I 0.060 0.000 0.290 x4
I 0.215 0.320 0.182 x8

***

The following is a PBE calculation of a geometry-optimized Li3Ge5I12 structure, from Alexandria.

Cell: 18.726 18.726 18.726 Å, 90.00 90.00 90.00°
Space group Ia-3d (No. 230)
Inequivalent atoms, fractional coordinates:
Li 0.000 0.250 0.125 x24
Ge 0.000 0.000 0.000 x16
Ge 0.000 0.250 0.375 x24
I 0.022 0.058 0.650 x96

***

So what do the calculations give for formation energy from raw total energies? Going down the list: -0.58 -0.09 -0.65 -0.41 -0.54 -0.34 eV per atom.
So what do the calculations give for raw total energy? Going down the list: -28.131 -30.133 -28.828 -72.447 -59.746 -433.123 eV per cell.